1.
The following is a DFT calculation (PBE) of an optimized crystal structure of CaLa2TlRu.

a b c (Å): 5.434 5.434 5.560
angles (deg): 90.00 90.00 90.00
Element x y z (fractional)
Ca: 0.000 0.000 0.000
La: 0.000 0.500 0.500
La: 0.500 0.000 0.500
Tl: 0.500 0.500 0.000
Ru: 0.500 0.500 0.500

Values from the calculation:
The calculation puts the spin magnetization at 0.0 μB per cell. The calculation puts the offset from the most stable computed form at 43 meV per atom. As for the space group: P4/mmm, No. 123.

2.
The following is a DFT calculation (PBE) of an optimized crystal structure of Na2TlIr.

a b c (Å): 4.004 4.004 21.594
angles (deg): 90.00 90.00 90.00
Element x y z (fractional)
Na: 0.233 0.250 0.125
Na: 0.250 0.733 0.375
Na: 0.250 0.767 0.875
Na: 0.267 0.250 0.625
Na: 0.733 0.750 0.625
Na: 0.750 0.233 0.875
Na: 0.750 0.267 0.375
Na: 0.767 0.750 0.125
Tl: 0.000 0.000 0.500
Tl: 0.000 0.500 0.750
Tl: 0.500 0.000 0.250
Tl: 0.500 0.500 0.000
Ir: 0.000 0.000 0.000
Ir: 0.000 0.500 0.250
Ir: 0.500 0.000 0.750
Ir: 0.500 0.500 0.500

Values from the calculation:
The calculation puts the spin magnetization at 0.0 μB per cell. The calculation puts the offset from the most stable computed form at 0 meV per atom. As for the space group: I-42d, No. 122.

3.
The following is a DFT calculation (PBE) of an optimized crystal structure of YHg2Au.

a b c (Å): 4.317 4.841 8.731
angles (deg): 90.00 90.00 90.00
Element x y z (fractional)
Y: 0.000 0.000 0.000
Y: 0.500 0.500 0.500
Hg: 0.000 0.500 0.241
Hg: 0.000 0.500 0.759
Hg: 0.500 0.000 0.259
Hg: 0.500 0.000 0.741
Au: 0.000 0.000 0.500
Au: 0.500 0.500 0.000

Values from the calculation:
The calculation puts the spin magnetization at 0.0 μB per cell. As for the space group: Immm, No. 71.

4.
The following is a DFT calculation (PBE) of an optimized crystal structure of CeInCl6.

a b c (Å): 6.666 12.206 6.642
angles (deg): 90.00 106.09 90.00
Element x y z (fractional)
Ce: 0.000 0.000 0.000
Ce: 0.500 0.500 0.000
In: 0.000 0.500 0.500
In: 0.500 0.000 0.500
Cl: 0.226 0.355 0.734
Cl: 0.226 0.645 0.734
Cl: 0.249 0.500 0.262
Cl: 0.251 0.000 0.738
Cl: 0.274 0.145 0.266
Cl: 0.274 0.855 0.266
Cl: 0.726 0.145 0.734
Cl: 0.726 0.855 0.734
Cl: 0.749 0.000 0.262
Cl: 0.751 0.500 0.738
Cl: 0.774 0.355 0.266
Cl: 0.774 0.645 0.266

Values from the calculation:
The calculation puts the spin magnetization at 2.0 μB per cell. The value obtained for the uncorrected formation energy is -1.60 eV/atom. The calculation puts the offset from the most stable computed form at 0 meV per atom. As for the space group: C2/m, No. 12.

5.
The following is a DFT calculation (PBE) of an optimized crystal structure of Sm8TlSb3Te4.

a b c (Å): 8.934 8.934 8.934
angles (deg): 60.01 60.01 60.01
Element x y z (fractional)
Sm: 0.247 0.247 0.247
Sm: 0.249 0.746 0.746
Sm: 0.254 0.254 0.751
Sm: 0.254 0.751 0.254
Sm: 0.746 0.249 0.746
Sm: 0.746 0.746 0.249
Sm: 0.751 0.254 0.254
Sm: 0.753 0.753 0.753
Tl: 0.500 0.500 0.500
Sb: 0.000 0.000 0.500
Sb: 0.000 0.500 0.000
Sb: 0.500 0.000 0.000
Te: 0.000 0.000 0.000
Te: 0.000 0.500 0.500
Te: 0.500 0.000 0.500
Te: 0.500 0.500 0.000

Values from the calculation:
The calculation puts the spin magnetization at 0.0 μB per cell. The value obtained for the uncorrected formation energy is -1.22 eV/atom. As for the space group: R-3m, No. 166.

6.
The following is a DFT calculation (PBE) of an optimized crystal structure of CdTeCl2.

a b c (Å): 4.608 4.608 4.523
angles (deg): 90.00 90.00 90.00
Element x y z (fractional)
Cd: 0.000 0.000 0.000
Te: 0.500 0.500 0.000
Cl: 0.000 0.500 0.500
Cl: 0.500 0.000 0.500

Values from the calculation:
The calculation puts the spin magnetization at 0.0 μB per cell. The value obtained for the uncorrected formation energy is -0.03 eV/atom. The calculation puts the offset from the most stable computed form at 509 meV per atom. As for the space group: P4/mmm, No. 123.

Number 1: energy -4.89 eV per atom. Number 2: energy -3.07 eV per atom. Number 3: energy -3.00 eV per atom. Number 4: energy -4.07 eV per atom. Number 5: energy -5.28 eV per atom. Number 6: energy -1.97 eV per atom.